A relaxed structure of Tl3Ga4Ni4. Source: OQMD, functional GGA-PBE.

CIF file:
```
data_Tl3Ga4Ni4
_cell_length_a 6.4399
_cell_length_b 6.4399
_cell_length_c 6.4399
_cell_angle_alpha 109.47
_cell_angle_beta 109.47
_cell_angle_gamma 109.47
_symmetry_space_group_name_H-M 'P 1'
_symmetry_Int_Tables_number 1
_symmetry_space_group_name_Hall 'P 1'
loop_
_atom_site_label
_atom_site_fract_x
_atom_site_fract_y
_atom_site_fract_z
Ga1 0.6065 0.0000 0.0000
Tl1 0.0000 0.5000 0.5000
Ni1 0.0000 0.0000 0.2424
Ni2 0.0000 0.2424 0.0000
Ga2 0.0000 0.0000 0.6065
Ni3 0.2424 0.0000 0.0000
Tl2 0.5000 0.5000 0.0000
Tl3 0.5000 0.0000 0.5000
Ga3 0.3935 0.3935 0.3935
Ni4 0.7576 0.7576 0.7576
Ga4 0.0000 0.6065 0.0000
```

Computed properties:
Raw total energy ... -3.824 eV per atom
SG ... I-43m, No. 217